A relaxed UPd4Pt5 crystal. Source: the Alexandria database, functional PBE.

Properties
SG	Pmmn, No. 59
DFT formation energy	-0.1113	eV/atom

Cell: 7.2570 6.0964 8.1608 Å, 90.00 90.00 90.00°
Closest atoms and distances in Å follow each position.
Sites, in units of the cell vectors:
Pt1 0.3105 0.8149 0.3308  4 Pt 2.69-2.76, 4 Pd 2.73-2.95, 1 U 2.76
Pt2 0.5000 0.0998 0.0000  4 Pd 2.64-2.67, 4 Pt 2.69
Pt3 0.8105 0.1851 0.1692  4 Pt 2.69-2.76, 4 Pd 2.73-2.95, 1 U 2.76
Pt4 0.1895 0.1851 0.8308  4 Pt 2.69-2.76, 4 Pd 2.73-2.95, 1 U 2.76
Pt5 0.1895 0.1851 0.1692  4 Pt 2.69-2.76, 4 Pd 2.73-2.95, 1 U 2.76
Pt6 0.3105 0.8149 0.6692  4 Pt 2.69-2.76, 4 Pd 2.73-2.95, 1 U 2.76
Pt7 0.6895 0.8149 0.6692  4 Pt 2.69-2.76, 4 Pd 2.73-2.95, 1 U 2.76
Pt8 0.0000 0.9002 0.5000  4 Pd 2.64-2.67, 4 Pt 2.69
Pt9 0.8105 0.1851 0.8308  4 Pt 2.69-2.76, 4 Pd 2.73-2.95, 1 U 2.76
Pt10 0.6895 0.8149 0.3308  4 Pt 2.69-2.76, 4 Pd 2.73-2.95, 1 U 2.76
U1 0.5000 0.4938 0.5000  4 Pd 2.50-2.64, 4 Pt 2.76
U2 0.0000 0.5062 0.0000  4 Pd 2.50-2.64, 4 Pt 2.76
Pd1 0.2337 0.2329 0.5000  1 U 2.50, 3 Pt 2.64-2.73
Pd2 0.0000 0.5315 0.6773  1 U 2.64, 5 Pt 2.67-2.84, 3 Pd 2.88-2.89
Pd3 0.0000 0.5315 0.3227  1 U 2.64, 5 Pt 2.67-2.84, 3 Pd 2.88-2.89
Pd4 0.5000 0.4685 0.1773  1 U 2.64, 5 Pt 2.67-2.84, 3 Pd 2.88-2.89
Pd5 0.7337 0.7671 0.0000  1 U 2.50, 3 Pt 2.64-2.73
Pd6 0.7663 0.2329 0.5000  1 U 2.50, 3 Pt 2.64-2.73
Pd7 0.2663 0.7671 0.0000  1 U 2.50, 3 Pt 2.64-2.73
Pd8 0.5000 0.4685 0.8227  1 U 2.64, 5 Pt 2.67-2.84, 3 Pd 2.88-2.89